PaPbAuO4: relaxed, PBE-GGA.

Output
Space group: Imma
E_tot, Ha/atom: -0.2589

a b c (Å): 7.299 7.111 7.026
angles (deg): 119.61 90.00 120.88
Element x y z (fractional)
Pa 0.500 0.000 0.500
Pa 0.500 0.000 0.000
Pb 0.858 0.716 0.108
Pb 0.142 0.284 0.892
Au 0.500 0.500 0.500
Au 0.000 0.500 0.500
O 0.717 0.433 0.696
O 0.286 0.942 0.221
O 0.656 0.942 0.221
O 0.717 0.433 0.237
O 0.283 0.567 0.763
O 0.714 0.058 0.779
O 0.344 0.058 0.779
O 0.283 0.567 0.304